No. 1
Crystalline TmPuHg6 at its relaxed geometry, computed with PBE-GGA.

Cell lengths 5.079, 6.656, 6.656 Å; angles 119.95, 90.00, 90.00 degrees
Site moments in Bohr magnetons follow the coordinates.
Sites, in units of the cell vectors:
Tm1 0.000 0.084 0.916  -0.06
Hg1 0.500 0.414 0.083  0.02
Hg2 0.500 0.917 0.586  0.02
Hg3 0.000 0.080 0.414  0.01
Hg4 0.000 0.584 0.416  0.01
Pu1 0.500 0.416 0.584  5.51
Hg5 0.000 0.586 0.920  0.01
Hg6 0.500 0.918 0.082  0.02

Computed properties:
As for the total energy: -2.788 eV/atom. The calculation puts the density of states at the Fermi level at 16.99 states/eV per cell. The calculation puts the formation energy at -0.21 eV per atom.

No. 2
Crystalline Tm4PuHg5 at its relaxed geometry, computed with PBE-GGA.

Cell lengths 3.669, 3.669, 18.652 Å; angles 90.00, 90.00, 90.00 degrees
Site moments in Bohr magnetons follow the coordinates.
Sites, in units of the cell vectors:
Pu1 0.000 0.000 0.000  5.54
Hg1 0.500 0.500 0.303  0.00
Tm1 0.000 0.000 0.205  0.00
Hg2 0.500 0.500 0.889  0.01
Tm2 0.000 0.000 0.598  -0.01
Hg3 0.500 0.500 0.111  0.01
Hg4 0.500 0.500 0.500  -0.01
Tm3 0.000 0.000 0.402  -0.01
Hg5 0.500 0.500 0.697  0.00
Tm4 0.000 0.000 0.795  0.00

Computed properties:
As for the total energy: -3.775 eV/atom. The calculation puts the density of states at the Fermi level at 12.27 states/eV per cell. The calculation puts the formation energy at -0.40 eV per atom.

No. 3
Crystalline TmPuHg at its relaxed geometry, computed with PBE-GGA.

Cell lengths 3.494, 3.494, 7.057 Å; angles 104.33, 104.33, 90.00 degrees
Site moments in Bohr magnetons follow the coordinates.
Sites, in units of the cell vectors:
Tm1 0.319 0.319 0.639  0.34
Hg1 0.674 0.674 0.347  0.01
Pu1 0.007 0.007 0.014  5.64

Computed properties:
As for the total energy: -6.492 eV/atom. The excess energy over the best structure of this formula in the dataset is 0.000 eV per atom. The calculation puts the density of states at the Fermi level at 7.23 states/eV per cell. The calculation puts the formation energy at -0.12 eV per atom.

No. 4
Crystalline TmPuHg4 at its relaxed geometry, computed with PBE-GGA.

Cell lengths 6.024, 5.025, 6.025 Å; angles 65.34, 88.29, 114.66 degrees
Site moments in Bohr magnetons follow the coordinates.
Sites, in units of the cell vectors:
Hg1 0.918 0.247 0.915  0.00
Hg2 0.584 0.246 0.582  0.00
Hg3 0.084 0.747 0.081  0.00
Pu1 0.001 0.997 0.498  5.52
Hg4 0.419 0.748 0.414  0.00
Tm1 0.501 0.497 0.998  0.20

Computed properties:
As for the total energy: -3.565 eV/atom. The excess energy over the best structure of this formula in the dataset is 0.023 eV per atom. The calculation puts the density of states at the Fermi level at 13.32 states/eV per cell. The calculation puts the formation energy at -0.23 eV per atom.